Computed, not measured: an optimized crystal structure of NpGaTc at the PBE-GGA level of DFT.

**Volume**: 52.2 Å³/cell
**Calculated density**: 12877 kg/m³
**Energy above the lowest structure with this stoichiometry**: 3.51 kcal/mol of atoms

POSCAR file:
```
NpGaTc
1.0
2.9400 0.0000 0.0000
-1.4700 2.5461 0.0000
0.0000 0.0000 6.9720
Tc Ga Np
1 1 1
direct
0.3333 0.6667 0.6539 Tc
0.6667 0.3333 0.3616 Ga
0.0000 0.0000 0.9845 Np
```


Computed, not measured: an optimized crystal structure of Np2Ga8Tc at the PBE-GGA level of DFT.

**Volume**: 208.9 Å³/cell
**Calculated density**: 8981 kg/m³
**Total energy**: -5.703 eV/atom

POSCAR file:
```
Np2Ga8Tc
1.0
-1.1660 0.9191 4.1012
0.1356 -4.2456 0.9900
10.5748 0.9872 2.7853
Np Tc Ga
2 1 8
direct
0.0000 0.0000 0.3085 Np
0.0000 0.0000 0.6915 Np
0.0000 0.0000 0.0000 Tc
0.5000 0.0000 0.5000 Ga
0.5000 0.0000 0.8763 Ga
0.0000 0.5000 0.1237 Ga
0.5000 0.5000 0.6903 Ga
0.0000 0.5000 0.5000 Ga
0.5000 0.0000 0.1237 Ga
0.0000 0.5000 0.8763 Ga
0.5000 0.5000 0.3097 Ga
```


Computed, not measured: an optimized crystal structure of NpGa4Tc at the PBE-GGA level of DFT.

**Volume**: 217.4 Å³/cell
**Calculated density**: 9379 kg/m³
**Energy above the lowest structure with this stoichiometry**: 0.00 kcal/mol of atoms

POSCAR file:
```
NpGa4Tc
1.0
-2.7126 -0.3215 3.1515
3.7297 -4.8897 2.7115
4.0224 5.2871 4.0015
Ga Tc Np
8 2 2
direct
0.5000 0.3191 0.5577 Ga
0.5000 0.3191 0.9423 Ga
0.0000 0.0000 0.5000 Ga
0.0000 0.0000 0.0000 Ga
0.5000 0.0501 0.2500 Ga
0.5000 0.9499 0.7500 Ga
0.5000 0.6809 0.4423 Ga
0.5000 0.6809 0.0577 Ga
0.0000 0.2231 0.7500 Tc
0.0000 0.7769 0.2500 Tc
0.0000 0.6264 0.7500 Np
0.0000 0.3736 0.2500 Np
```


Computed, not measured: an optimized crystal structure of NpGaTc2 at the PBE-GGA level of DFT.

**Volume**: 69.3 Å³/cell
**Calculated density**: 12039 kg/m³
**Energy above the lowest structure with this stoichiometry**: 8.02 kcal/mol of atoms

POSCAR file:
```
NpGaTc2
1.0
3.2642 0.0000 0.0000
1.6321 2.8269 0.0000
1.6321 0.9423 7.5148
Tc Ga Np
2 1 1
direct
0.2563 0.2563 0.2311 Tc
0.7437 0.7437 0.7689 Tc
0.5000 0.5000 0.5000 Ga
0.0000 0.0000 0.0000 Np
```


Computed, not measured: an optimized crystal structure of NpGaTc2 at the PBE-GGA level of DFT.

**Volume**: 65.2 Å³/cell
**Calculated density**: 12798 kg/m³
**Energy above the lowest structure with this stoichiometry**: 0.00 kcal/mol of atoms

POSCAR file:
```
NpGaTc2
1.0
3.4785 0.0000 0.0000
0.0000 4.3303 0.0000
0.0000 0.0000 4.3303
Tc Ga Np
2 1 1
direct
0.0000 0.0000 0.5000 Tc
0.0000 0.5000 0.0000 Tc
0.5000 0.0000 0.0000 Ga
0.5000 0.5000 0.5000 Np
```


Computed, not measured: an optimized crystal structure of NpGaTc2 at the PBE-GGA level of DFT.

**Volume**: 66.1 Å³/cell
**Calculated density**: 12637 kg/m³
**Energy above the lowest structure with this stoichiometry**: 3.05 kcal/mol of atoms

POSCAR file:
```
NpGaTc2
1.0
3.2831 0.0000 0.0000
0.0000 3.2831 0.0000
0.0000 0.0000 6.1285
Ga Tc Np
1 2 1
direct
0.5000 0.5000 0.0000 Ga
0.0000 0.0000 0.7571 Tc
0.0000 0.0000 0.2429 Tc
0.5000 0.5000 0.5000 Np
```


Computed, not measured: an optimized crystal structure of Np2GaTc at the PBE-GGA level of DFT.

**Volume**: 73.9 Å³/cell
**Calculated density**: 14428 kg/m³
**Energy above the lowest structure with this stoichiometry**: 0.00 kcal/mol of atoms

POSCAR file:
```
Np2GaTc
1.0
4.2954 0.0000 0.0000
0.0000 4.1466 0.0000
0.0000 0.0000 4.1466
Tc Ga Np
1 1 2
direct
0.5000 0.0000 0.0000 Tc
0.5000 0.5000 0.5000 Ga
0.0000 0.0000 0.5000 Np
0.0000 0.5000 0.0000 Np
```


Computed, not measured: an optimized crystal structure of NpGaTc2 at the PBE-GGA level of DFT.

**Volume**: 66.6 Å³/cell
**Calculated density**: 12542 kg/m³
**Energy above the lowest structure with this stoichiometry**: 2.10 kcal/mol of atoms

POSCAR file:
```
NpGaTc2
1.0
-1.4647 4.0515 -1.4606
-4.4611 0.8027 -0.3835
-2.0543 2.8521 2.8876
Tc Np Ga
2 1 1
direct
0.7500 0.7500 0.7500 Tc
0.2500 0.2500 0.2500 Tc
0.5000 0.5000 0.5000 Np
0.0000 0.0000 0.0000 Ga
```


Computed, not measured: an optimized crystal structure of Np2GaTc at the PBE-GGA level of DFT.

**Volume**: 80.0 Å³/cell
**Calculated density**: 13325 kg/m³
**Energy above the lowest structure with this stoichiometry**: 0.90 kcal/mol of atoms

POSCAR file:
```
Np2GaTc
1.0
-1.1550 0.8030 2.7709
-0.4719 -2.9971 0.6718
7.5844 -0.4559 3.2936
Tc Np Ga
1 2 1
direct
0.5000 0.5000 0.0000 Tc
0.0000 0.0000 0.7739 Np
0.0000 0.0000 0.2261 Np
0.5000 0.5000 0.5000 Ga
```


Computed, not measured: an optimized crystal structure of Np2GaTc at the PBE-GGA level of DFT.

**Volume**: 73.8 Å³/cell
**Calculated density**: 14433 kg/m³
**Energy above the lowest structure with this stoichiometry**: 3.75 kcal/mol of atoms

POSCAR file:
```
Np2GaTc
1.0
2.9206 0.0000 0.0000
1.4603 2.5293 0.0000
1.4603 0.8431 9.9943
Np Ga Tc
2 1 1
direct
0.2551 0.2551 0.2347 Np
0.7449 0.7449 0.7653 Np
0.5000 0.5000 0.5000 Ga
0.0000 0.0000 0.0000 Tc
```


Computed, not measured: an optimized crystal structure of NpGaTc at the PBE-GGA level of DFT.

**Volume**: 54.8 Å³/cell
**Calculated density**: 12267 kg/m³
**Energy above the lowest structure with this stoichiometry**: 0.00 kcal/mol of atoms

POSCAR file:
```
NpGaTc
1.0
3.1712 0.0000 0.0000
0.0000 3.1712 0.0000
-1.5856 -1.5856 5.4481
Tc Np Ga
1 1 1
direct
0.6565 0.6565 0.3130 Tc
0.3174 0.3174 0.6348 Np
0.0261 0.0261 0.0522 Ga
```


Computed, not measured: an optimized crystal structure of NpGa3Tc at the PBE-GGA level of DFT.

**Volume**: 116.1 Å³/cell
**Calculated density**: 7782 kg/m³
**Total energy**: -5.876 eV/atom

POSCAR file:
```
NpGa3Tc
1.0
4.9418 -0.0396 -0.0463
-0.7051 4.8914 -0.0463
-0.7051 -0.8074 4.8246
Np Ga Tc
1 3 1
direct
0.0469 0.0469 0.0469 Np
0.6827 0.3241 0.3241 Ga
0.3241 0.3241 0.6827 Ga
0.3241 0.6827 0.3241 Ga
0.7472 0.7472 0.7472 Tc
```


Computed, not measured: an optimized crystal structure of NpGa7Tc2 at the PBE-GGA level of DFT.

**Volume**: 191.0 Å³/cell
**Calculated density**: 8009 kg/m³
**Total energy**: -5.432 eV/atom

POSCAR file:
```
NpGa7Tc2
1.0
-0.5663 3.1970 0.2735
-5.1567 -1.4028 5.7215
6.9903 0.9476 3.3960
Tc Ga Np
2 7 1
direct
0.5000 0.1518 0.8482 Tc
0.5000 0.8482 0.1518 Tc
0.5000 0.5880 0.8636 Ga
0.5000 0.5000 0.5000 Ga
0.5000 0.1364 0.4120 Ga
0.5000 0.8636 0.5880 Ga
0.0000 0.6816 0.3184 Ga
0.0000 0.3184 0.6816 Ga
0.5000 0.4120 0.1364 Ga
0.0000 0.0000 0.0000 Np
```


Computed, not measured: an optimized crystal structure of Np4Ga6Tc7 at the PBE-GGA level of DFT.

**Volume**: 291.6 Å³/cell
**Calculated density**: 11687 kg/m³
**Total energy**: -8.478 eV/atom

POSCAR file:
```
Np4Ga6Tc7
1.0
6.8218 0.0000 -2.4119
-3.4109 5.9078 -2.4119
0.0000 0.0000 7.2356
Tc Np Ga
7 4 6
direct
0.0000 0.0000 0.0000 Tc
0.2500 0.7500 0.5000 Tc
0.5000 0.2500 0.7500 Tc
0.7500 0.5000 0.2500 Tc
0.5000 0.7500 0.2500 Tc
0.7500 0.2500 0.5000 Tc
0.2500 0.5000 0.7500 Tc
0.0000 0.5000 0.0000 Np
0.0000 0.0000 0.5000 Np
0.5000 0.5000 0.5000 Np
0.5000 0.0000 0.0000 Np
0.6959 0.6959 0.0000 Ga
0.3041 0.3041 0.0000 Ga
0.0000 0.3041 0.3041 Ga
0.0000 0.6959 0.6959 Ga
0.6959 0.0000 0.6959 Ga
0.3041 0.0000 0.3041 Ga
```


Computed, not measured: an optimized crystal structure of NpTiGaTc at the PBE-GGA level of DFT.

**Volume**: 67.9 Å³/cell
**Calculated density**: 11076 kg/m³
**Total energy**: -8.635 eV/atom

POSCAR file:
```
NpTiGaTc
1.0
4.5782 0.0000 0.0000
2.2891 3.9648 0.0000
2.2891 1.3216 3.7381
Ga Np Ti Tc
1 1 1 1
direct
0.5000 0.5000 0.5000 Ga
0.0000 0.0000 0.0000 Np
0.2500 0.2500 0.2500 Ti
0.7500 0.7500 0.7500 Tc
```


Computed, not measured: an optimized crystal structure of NpUGaTc at the PBE-GGA level of DFT.

**Volume**: 73.7 Å³/cell
**Calculated density**: 14481 kg/m³
**Total energy**: -9.446 eV/atom

POSCAR file:
```
NpUGaTc
1.0
4.7062 0.0000 0.0000
2.3531 4.0757 0.0000
2.3531 1.3586 3.8426
Np U Tc Ga
1 1 1 1
direct
0.2500 0.2500 0.2500 Np
0.5000 0.5000 0.5000 U
0.7500 0.7500 0.7500 Tc
0.0000 0.0000 0.0000 Ga
```


Computed, not measured: an optimized crystal structure of Np3GaTe6 at the PBE-GGA level of DFT.

**Volume**: 657.2 Å³/cell
**Calculated density**: 7814 kg/m³
**Total energy**: -6.609 eV/atom

POSCAR file:
```
Np3GaTe6
1.0
7.3150 0.0000 0.0000
0.0000 9.5725 0.1271
0.0000 -2.0122 9.3595
Te Np Ga
12 6 2
direct
0.2108 0.4441 0.9074 Te
0.6755 0.9623 0.0377 Te
0.1796 0.3760 0.2989 Te
0.1755 0.0377 0.9623 Te
0.6581 0.2235 0.7765 Te
0.7108 0.5559 0.0926 Te
0.6796 0.2989 0.3760 Te
0.7108 0.9074 0.4441 Te
0.6796 0.6240 0.7011 Te
0.2108 0.0926 0.5559 Te
0.1581 0.7765 0.2235 Te
0.1796 0.7011 0.6240 Te
0.8784 0.5967 0.4033 Np
0.3784 0.4033 0.5967 Np
0.9838 0.0825 0.2737 Np
0.4838 0.2737 0.0825 Np
0.4838 0.9175 0.7263 Np
0.9838 0.7263 0.9175 Np
0.0249 0.2062 0.7938 Ga
0.5249 0.7938 0.2062 Ga
```


Computed, not measured: an optimized crystal structure of NpGaTe at the PBE-GGA level of DFT.

**Volume**: 148.4 Å³/cell
**Calculated density**: 9718 kg/m³
**Energy above the lowest structure with this stoichiometry**: 0.00 kcal/mol of atoms

POSCAR file:
```
NpGaTe
1.0
-1.2956 0.5453 -4.0929
3.3763 -1.4027 -1.2557
-1.7199 -8.8932 -0.6405
Te Np Ga
2 2 2
direct
0.2500 0.6867 0.6267 Te
0.7500 0.3133 0.3733 Te
0.7500 0.1082 0.7836 Np
0.2500 0.8918 0.2164 Np
0.7500 0.4680 0.0641 Ga
0.2500 0.5320 0.9359 Ga
```


Computed, not measured: an optimized crystal structure of NpGaTe at the PBE-GGA level of DFT.

**Volume**: 74.1 Å³/cell
**Calculated density**: 9733 kg/m³
**Energy above the lowest structure with this stoichiometry**: 6.07 kcal/mol of atoms

POSCAR file:
```
NpGaTe
1.0
-0.6713 2.7675 -2.2040
-2.9626 -2.8256 -2.6458
-1.7774 2.5560 3.7509
Np Ga Te
1 1 1
direct
0.0004 0.0000 0.0000 Np
0.4981 0.6667 0.3333 Ga
0.5014 0.3333 0.6667 Te
```


Computed, not measured: an optimized crystal structure of NpGaTe at the PBE-GGA level of DFT.

**Volume**: 72.0 Å³/cell
**Calculated density**: 10012 kg/m³
**Energy above the lowest structure with this stoichiometry**: 3.41 kcal/mol of atoms

POSCAR file:
```
NpGaTe
1.0
-3.6729 0.2309 0.6543
0.0538 -3.4193 1.5088
2.7638 3.6524 3.5487
Np Ga Te
1 1 1
direct
0.2844 0.2844 0.5689 Np
0.9578 0.9578 0.9156 Ga
0.6078 0.6078 0.2156 Te
```


Computed, not measured: an optimized crystal structure of Np3Ga5Te12 at the PBE-GGA level of DFT.

**Volume**: 2555.4 Å³/cell
**Calculated density**: 6734 kg/m³
**Total energy**: -4.961 eV/atom

POSCAR file:
```
Np3Ga5Te12
1.0
14.9173 0.0000 0.0000
-4.9724 14.0642 0.0000
-4.9724 -7.0321 12.1800
Ga Te Np
20 48 12
direct
0.0000 0.5000 0.0000 Ga
0.3750 0.1250 0.7500 Ga
0.5000 0.5000 0.5000 Ga
0.2500 0.8750 0.1250 Ga
0.0000 0.0000 0.0000 Ga
0.2500 0.3750 0.6250 Ga
0.8750 0.6250 0.7500 Ga
0.6250 0.7500 0.8750 Ga
0.7500 0.1250 0.8750 Ga
0.3750 0.2500 0.1250 Ga
0.5000 0.0000 0.5000 Ga
0.1250 0.7500 0.3750 Ga
0.0000 0.5000 0.5000 Ga
0.6250 0.8750 0.2500 Ga
0.8750 0.2500 0.6250 Ga
0.1250 0.3750 0.2500 Ga
0.5000 0.5000 0.0000 Ga
0.0000 0.0000 0.5000 Ga
0.7500 0.6250 0.3750 Ga
0.5000 0.0000 0.0000 Ga
0.0403 0.4121 0.8238 Te
0.2165 0.6762 0.0883 Te
0.8718 0.5883 0.9121 Te
0.5879 0.9597 0.6762 Te
0.4121 0.0403 0.3238 Te
0.6762 0.2165 0.5883 Te
0.5403 0.2165 0.1282 Te
0.5883 0.7165 0.6762 Te
0.0879 0.9117 0.1282 Te
0.0883 0.9121 0.3718 Te
0.8718 0.2835 0.4597 Te
0.0879 0.1762 0.4597 Te
0.9117 0.0879 0.6282 Te
0.9597 0.5879 0.1762 Te
0.8238 0.9121 0.0403 Te
0.4117 0.1282 0.5879 Te
0.7835 0.3238 0.9117 Te
0.5403 0.3238 0.9121 Te
0.1762 0.0879 0.9597 Te
0.4597 0.6762 0.0879 Te
0.0883 0.1762 0.2165 Te
0.9121 0.0883 0.8718 Te
0.7835 0.4597 0.3718 Te
0.1762 0.0883 0.7165 Te
0.5879 0.6282 0.4117 Te
0.3718 0.4121 0.0883 Te
0.9121 0.8238 0.5403 Te
0.4121 0.3718 0.5883 Te
0.3238 0.7835 0.4117 Te
0.4597 0.7835 0.8718 Te
0.3238 0.5403 0.4121 Te
0.4117 0.2835 0.3238 Te
0.2835 0.4117 0.8238 Te
0.1282 0.7165 0.5403 Te
0.1282 0.4117 0.0879 Te
0.0403 0.6282 0.7165 Te
0.2165 0.5403 0.6282 Te
0.6282 0.0403 0.2165 Te
0.7165 0.1282 0.0403 Te
0.3718 0.9597 0.7835 Te
0.9597 0.3718 0.2835 Te
0.7165 0.5883 0.1762 Te
0.9117 0.8238 0.7835 Te
0.8238 0.9117 0.2835 Te
0.6282 0.5879 0.9117 Te
0.2835 0.8718 0.9597 Te
0.6762 0.4597 0.5879 Te
0.5883 0.8718 0.4121 Te
0.8750 0.7500 0.1250 Np
0.1250 0.2500 0.8750 Np
0.8750 0.1250 0.2500 Np
0.3750 0.6250 0.2500 Np
0.6250 0.2500 0.3750 Np
0.6250 0.3750 0.7500 Np
0.3750 0.7500 0.6250 Np
0.2500 0.1250 0.3750 Np
0.1250 0.8750 0.7500 Np
0.2500 0.6250 0.8750 Np
0.7500 0.8750 0.6250 Np
0.7500 0.3750 0.1250 Np
```


Computed, not measured: an optimized crystal structure of NpGa2Te at the PBE-GGA level of DFT.

**Volume**: 88.0 Å³/cell
**Calculated density**: 9509 kg/m³
**Total energy**: -5.765 eV/atom

POSCAR file:
```
NpGa2Te
1.0
4.5825 0.0000 0.0000
0.0000 4.3828 0.0000
0.0000 0.0000 4.3828
Ga Te Np
2 1 1
direct
0.0000 0.0000 0.5000 Ga
0.0000 0.5000 0.0000 Ga
0.5000 0.5000 0.5000 Te
0.5000 0.0000 0.0000 Np
```